This record from Alexandria describes a geometry-optimized ZrCr2Fe structure. The functional is PBE. Values from VASP.

Structure (Quantum ESPRESSO input):
```
&SYSTEM
  ibrav = 0, nat = 4, ntyp = 3
/
ATOMIC_SPECIES
Zr 91.22 Zr.upf
Cr 52.00 Cr.upf
Fe 55.84 Fe.upf
ATOMIC_POSITIONS angstrom
Zr 0.000 0.000 0.000
Cr 0.807 2.152 1.261
Cr 0.807 -2.152 1.261
Fe 2.556 0.000 0.000
CELL_PARAMETERS angstrom
2.556 -4.303 0.000
2.556 4.303 0.000
-0.941 0.000 2.523
```

Values from the calculation:
theoretical density: 7.5 g/cm³
M_tot: 1.006 μB/f.u.
energy above the most stable polymorph in this dataset: 0.205 eV per atom
ΔH_f (0 K): 1.35 eV/f.u.
final energy: -8.727 eV per atom